# 1
VASP calculation (GGA-PBE) on a relaxed AlCr4Os crystal.

Unit cell a=4.743 b=4.743 c=4.743 alpha=60.00 beta=60.00 gamma=60.00
Fractional coordinates of all 6 atoms:
Al 0.000 0.000 0.000
Cr 0.881 0.373 0.373
Cr 0.373 0.373 0.881
Cr 0.373 0.881 0.373
Cr 0.373 0.373 0.373
Os 0.750 0.750 0.750

* formation energy: 0.0074 eV per atom
* SG: F-43m
* crystal system: cubic



# 2
VASP calculation (GGA-PBE) on a relaxed ScTcSb crystal.

Unit cell a=5.622 b=5.622 c=3.365 alpha=72.59 beta=72.59 gamma=34.83
Fractional coordinates of all 3 atoms:
Sb 0.978 0.978 0.022
Sc 0.676 0.676 0.324
Tc 0.347 0.347 0.653

* E_form (uncorrected): -0.29 eV/atom
* excess energy over the best structure of this formula in the dataset: 0 meV/atom
* SG: I4mm
* crystal system: tetragonal



# 3
VASP calculation (GGA-PBE) on a relaxed In2Tc2Pd crystal.

Unit cell a=3.521 b=3.521 c=8.083 alpha=77.42 beta=77.42 gamma=90.00
Fractional coordinates of all 5 atoms:
Tc 0.750 0.250 0.500
Tc 0.250 0.750 0.500
Pd 0.000 0.000 0.000
In 0.401 0.401 0.198
In 0.599 0.599 0.802

* formation energy: 0.2770 eV per atom
* excess energy over the best structure of this formula in the dataset: 0 meV/atom
* SG: I4/mmm
* crystal system: tetragonal



| no. | raw total energy (eV per formula unit) |
| --- | --- |
| 1 | -53.421 |
| 2 | -21.692 |
| 3 | -30.017 |